Arrangement A

The following is a DFT calculation (PBE) of crystalline Ir2Os at its relaxed geometry.

Total magnetization   0.000 μB/f.u.

abc: 4.6290 5.9901 4.0282
angles: 90.00 90.00 90.00
Atoms (fractional coordinates):
Ir (0.2100, 0.1144, 0.0000)
Ir (0.2900, 0.6144, 0.5000)
Ir (0.7100, 0.3856, 0.5000)
Ir (0.7900, 0.8856, 0.0000)
Os (0.0000, 0.5000, 0.0000)
Os (0.5000, 0.0000, 0.5000)

Arrangement B

The following is a DFT calculation (PBE) of crystalline Ir2Os at its relaxed geometry.

Total magnetization   0.000 μB/f.u.

abc: 12.2229 12.2229 12.2229
angles: 167.16 167.16 18.19
Atoms (fractional coordinates):
Ir (0.2975, 0.5475, 0.7500)
Ir (0.4525, 0.7025, 0.7500)
Ir (0.5475, 0.2975, 0.2500)
Ir (0.7025, 0.4525, 0.2500)
Os (0.1250, 0.8750, 0.2500)
Os (0.8750, 0.1250, 0.7500)

Arrangement C

The following is a DFT calculation (PBE) of crystalline Ir2Os at its relaxed geometry.

Total magnetization   0.000 μB/f.u.

abc: 5.0898 5.0898 8.2893
angles: 90.00 90.00 120.00
Atoms (fractional coordinates):
Ir (0.0000, 0.0000, 0.0000)
Ir (0.0000, 0.0000, 0.5000)
Ir (0.1704, 0.3408, 0.2500)
Ir (0.1704, 0.8296, 0.2500)
Ir (0.3408, 0.1704, 0.7500)
Ir (0.6592, 0.8296, 0.2500)
Ir (0.8296, 0.1704, 0.7500)
Ir (0.8296, 0.6592, 0.7500)
Os (0.3333, 0.6667, 0.5902)
Os (0.3333, 0.6667, 0.9098)
Os (0.6667, 0.3333, 0.0902)
Os (0.6667, 0.3333, 0.4098)

It is arrangement A that is the least stable of them.

Arrangement A

The following is a DFT calculation (PBE) of crystalline Ir5Os at its relaxed geometry.

Total magnetization   0.000 μB/f.u.

abc: 5.2171 5.2171 6.4965
angles: 104.00 104.00 30.63
Atoms (fractional coordinates):
Ir (0.0000, 0.0000, 0.0000)
Ir (0.0545, 0.0545, 0.6047)
Ir (0.3351, 0.3351, 0.6647)
Ir (0.6703, 0.6703, 0.3309)
Ir (0.7263, 0.7263, 0.9472)
Os (0.3917, 0.3917, 0.2773)

Arrangement B

The following is a DFT calculation (PBE) of crystalline Ir5Os at its relaxed geometry.

Total magnetization   0.000 μB/f.u.

abc: 6.1233 6.1233 3.8690
angles: 90.00 90.00 143.20
Atoms (fractional coordinates):
Ir (0.0000, 0.0000, 0.0000)
Ir (0.1630, 0.8370, 0.5000)
Ir (0.3339, 0.6661, 0.0000)
Ir (0.6661, 0.3339, 0.0000)
Ir (0.8370, 0.1630, 0.5000)
Os (0.5000, 0.5000, 0.5000)

It is arrangement A that is the least stable of them.

Arrangement A

The following is a DFT calculation (PBE) of crystalline P2IrOs at its relaxed geometry.

Total magnetization   0.000 μB/f.u.

abc: 4.0568 4.0568 5.0316
angles: 101.92 101.92 42.23
Atoms (fractional coordinates):
P (0.2459, 0.2459, 0.2412)
P (0.7541, 0.7541, 0.7588)
Ir (0.0000, 0.0000, 0.5000)
Os (0.5000, 0.5000, 0.0000)

Arrangement B

The following is a DFT calculation (PBE) of crystalline P2IrOs at its relaxed geometry.

Total magnetization   0.000 μB/f.u.

abc: 5.3263 5.3263 5.3263
angles: 148.16 134.15 56.90
Atoms (fractional coordinates):
P (0.0000, 0.0000, 0.0000)
P (0.7206, 0.2206, 0.5000)
Ir (0.2205, 0.7205, 0.5000)
Os (0.5132, 0.5132, 0.0000)

Arrangement C

The following is a DFT calculation (PBE) of crystalline P2IrOs at its relaxed geometry.

Total magnetization   0.000 μB/f.u.

abc: 2.9742 3.6895 5.0025
angles: 90.00 90.00 90.00
Atoms (fractional coordinates):
P (0.0000, 0.0000, 0.0000)
P (0.5000, 0.5000, 0.3576)
Ir (0.5000, 0.5000, 0.8690)
Os (0.0000, 0.0000, 0.4949)

Arrangement D

The following is a DFT calculation (PBE) of crystalline P2IrOs at its relaxed geometry.

Total magnetization   0.000 μB/f.u.

abc: 2.9285 4.2265 5.7297
angles: 101.13 104.74 110.20
Atoms (fractional coordinates):
P (0.0000, 0.0000, 0.0000)
P (0.1753, 0.8893, 0.4671)
Ir (0.5807, 0.5384, 0.6303)
Os (0.3680, 0.6184, 0.1159)

It is arrangement B that is the least stable of them.

Arrangement A

The following is a DFT calculation (PBE) of crystalline P2IrOs at its relaxed geometry.

Total magnetization   0.000 μB/f.u.

abc: 2.7682 2.7682 9.8398
angles: 90.00 90.00 119.59
Atoms (fractional coordinates):
P (0.0000, 0.0000, 0.0000)
P (0.5000, 0.5000, 0.3581)
Ir (0.5000, 0.5000, 0.8012)
Os (0.0000, 0.0000, 0.5502)

Arrangement B

The following is a DFT calculation (PBE) of crystalline P2IrOs at its relaxed geometry.

Total magnetization   0.000 μB/f.u.

abc: 4.3340 4.3340 4.3340
angles: 60.00 60.00 60.00
Atoms (fractional coordinates):
P (0.0000, 0.0000, 0.0000)
P (0.2500, 0.2500, 0.2500)
Ir (0.7500, 0.7500, 0.7500)
Os (0.5000, 0.5000, 0.5000)

Arrangement C

The following is a DFT calculation (PBE) of crystalline P2IrOs at its relaxed geometry.

Total magnetization   0.000 μB/f.u.

abc: 4.0834 4.0834 5.3567
angles: 90.28 90.28 42.23
Atoms (fractional coordinates):
P (0.0000, 0.0000, 0.0000)
P (0.6675, 0.6675, 0.4833)
Ir (0.2706, 0.2706, 0.8002)
Os (0.3917, 0.3917, 0.3026)

It is arrangement B that is the least stable of them.